# 1
Compound: TlIn6Cl8
Source: Alexandria via LeMat-Bulk
Functional: GGA-PBE
Structure: relaxed

- Density: 3.73 g/cm3
- Total magnetization: 0.00 μB per formula unit
- Fermi-level density of states: 0.33 states/eV/atom
- Formation energy without anion corrections: -796 meV per atom

abc: 11.5413 11.5413 13.6272
angles: 90.00 90.00 120.00
With the nearest neighbours (Å) after each atom.
Space group R-3 (No. 148, hexagonal axes)
One atom of each set of equivalent atoms:
Tl 0.0000 0.0000 0.0000  8 Cl 3.24-3.61
In 0.0421 0.8476 0.6048  3 Cl 2.67-2.96
Cl 0.0000 0.0000 0.2377  3 In 2.96, 1 Tl 3.24
Cl 0.0170 0.7026 0.0533  2 In 2.67-2.75

=====

# 2
Compound: TlIn4Cl
Source: Alexandria via LeMat-Bulk
Functional: GGA-PBE
Structure: relaxed

- Density: 6.59 g/cm3
- Total magnetization: 0.00 μB per formula unit
- Fermi-level density of states: 0.73 states/eV/atom
- Formation energy without anion corrections: -85 meV per atom

abc: 8.8973 8.8973 8.8973
angles: 90.00 90.00 90.00
With the nearest neighbours (Å) after each atom.
Space group F-43m (No. 216)
One atom of each set of equivalent atoms:
Tl 0.0000 0.0000 0.0000  12 In 3.69, 4 Cl 3.85
In 0.1251 0.1251 0.3749  6 In 3.14-3.15
Cl 0.2500 0.2500 0.7500  12 In 3.69, 4 Tl 3.85

=====

# 3
Compound: TlInCl4
Source: Alexandria via LeMat-Bulk
Functional: GGA-PBE
Structure: relaxed

- Density: 3.34 g/cm3
- Total magnetization: 0.00 μB per formula unit
- Fermi-level density of states: 0.00 states/eV/atom
- Formation energy without anion corrections: -1085 meV per atom

abc: 10.3270 10.3270 8.5970
angles: 90.00 90.00 90.00
With the nearest neighbours (Å) after each atom.
Space group I4_1/amd (No. 141, origin choice 2)
One atom of each set of equivalent atoms:
Tl 0.0000 0.2500 0.3750  8 Cl 3.35-3.37
In 0.0000 0.2500 0.8750  4 Cl 2.40
Cl 0.0000 0.0684 0.7013  1 In 2.40

=====

# 4
Compound: Tl2InCl6
Source: Alexandria via LeMat-Bulk
Functional: GGA-PBE
Structure: relaxed

- Density: 4.42 g/cm3
- Total magnetization: 0.00 μB per formula unit
- Fermi-level density of states: 0.68 states/eV/atom
- Formation energy without anion corrections: -926 meV per atom

abc: 7.0835 7.5624 12.0709
angles: 90.00 121.07 90.00
With the nearest neighbours (Å) after each atom.
Space group P2_1/c (No. 14)
One atom of each set of equivalent atoms:
Tl 0.1856 0.0936 0.2244  7 Cl 2.98-3.30
In 0.5000 0.0000 0.0000  6 Cl 2.56-2.57
Cl 0.1613 0.1823 0.9509  1 In 2.56
Cl 0.2612 0.7219 0.9179  1 In 2.56
Cl 0.4261 0.0659 0.7721  1 In 2.57

=====

# 5
Compound: TmTlIn2Cl6
Source: Alexandria via LeMat-Bulk
Functional: GGA-PBE
Structure: relaxed

- Density: 3.91 g/cm3
- Total magnetization: 0.00 μB per formula unit
- Fermi-level density of states: 0.00 states/eV/atom
- Formation energy without anion corrections: -1461 meV per atom

abc: 7.7936 7.8061 7.9642
angles: 60.73 60.71 60.06
With the nearest neighbours (Å) after each atom.
Space group P1 (No. 1)
One atom of each set of equivalent atoms:
Tm 0.0000 0.0000 0.0000  6 Cl 2.60-2.65
Tl 0.5104 0.5102 0.4694  6 Cl 3.15-3.33
In 0.3018 0.3016 0.0953  6 Cl 3.19-3.27
In 0.7930 0.7935 0.6207  6 Cl 3.17-3.31
Cl 0.1200 0.7656 0.7904  1 Tm 2.60
Cl 0.1885 0.6623 0.2536  1 Tm 2.65
Cl 0.3243 0.1199 0.7915  1 Tm 2.60
Cl 0.6615 0.8959 0.2529  1 Tm 2.65
Cl 0.7651 0.3241 0.7912  1 Tm 2.60
Cl 0.8955 0.1883 0.2541  1 Tm 2.65

=====

# 6
Compound: UTl2InCl8
Source: Alexandria via LeMat-Bulk
Functional: GGA-PBE
Structure: relaxed

- Density: 4.77 g/cm3
- Total magnetization: 0.99 μB per formula unit
- Fermi-level density of states: 0.61 states/eV/atom
- Formation energy without anion corrections: -1234 meV per atom

abc: 7.2171 7.2171 13.9690
angles: 90.00 90.00 90.00
With the nearest neighbours (Å) after each atom.
Space group I-4m2 (No. 119)
One atom of each set of equivalent atoms:
U 0.0000 0.0000 0.0000  8 Cl 2.74
Tl 0.0000 0.0000 0.5000  8 Cl 3.28
Tl 0.0000 0.5000 0.2500  8 Cl 3.22
In 0.0000 0.5000 0.7500  8 Cl 3.19
Cl 0.2166 0.2207 0.8868  1 U 2.74

=====

Among the records above, which one has the lowest density?
TlInCl4